Record 1
This record from Alexandria describes a geometry-optimized TlInHg2 structure. The functional is GGA-PBE.

a b c (Å): 4.0136 4.0136 6.9268
angles (deg): 90.00 90.00 90.00
Fractional positions:
Tl 0.5000 0.5000 0.7600
Hg 0.0000 0.0000 0.0100
Hg 0.5000 0.5000 0.2523
In 0.0000 0.0000 0.4777

Output
Size of the total moment   0.00 μB per formula unit
VASP energy   -5.67 eV per cell
Symmetry   P4mm

Record 2
This record from Alexandria describes a geometry-optimized Tl3In2Hg3 structure. The functional is GGA-PBE.

a b c (Å): 4.5965 4.8276 10.7287
angles (deg): 103.00 102.37 90.00
Fractional positions:
Tl 0.6263 0.6263 0.2526
Tl 0.3737 0.3737 0.7474
Tl 0.5000 0.0000 0.0000
In 0.7494 0.2494 0.4989
In 0.2506 0.7506 0.5011
Hg 0.8657 0.8657 0.7314
Hg 0.0000 0.5000 0.0000
Hg 0.1343 0.1343 0.2686

Output
Size of the total moment   0.00 μB per formula unit
VASP energy   -13.43 eV per cell
Symmetry   Immm